A plane-wave DFT calculation with PBE was carried out for Li5Cd5Ga2 after structural relaxation.

Unit cell a=5.078 b=5.117 c=9.981 alpha=80.68 beta=85.88 gamma=60.63
Space group P-1 (No. 2)
Inequivalent atoms, fractional coordinates:
Li: 0.000 0.000 0.000 x1
Li: 0.158 0.177 0.498 x2
Li: 0.474 0.902 0.250 x2
Cd: 0.186 0.772 0.745 x2
Cd: 0.336 0.326 0.011 x2
Cd: 0.500 0.500 0.500 x1
Ga: 0.128 0.580 0.263 x2

Summary:
Energy in eV/atom: -1.886
Total moment in μB per cell: 0.0



A plane-wave DFT calculation with PBE was carried out for YFe2 after structural relaxation.

Unit cell a=6.295 b=6.295 c=6.295 alpha=90.00 beta=90.00 gamma=90.00
Space group Fm-3m (No. 225)
Inequivalent atoms, fractional coordinates:
Y: 0.000 0.000 0.000 x4
Fe: 0.250 0.250 0.250 x8

Summary:
Energy in eV/atom: -6.610
Total moment in μB per cell: 17.8